# 1
GdHfIr | PBE | relaxed

Calculated values
Excess energy over the best structure of this formula in the dataset = 17 meV per atom
Crystal system = cubic
Space-group type = F-43m (216)
Energy relative to the elements = -490 meV/atom
D(E_F) = 2.795 states/eV per cell

abc: 4.685 4.685 4.685
angles: 60.00 60.00 60.00
Fractional coordinates of all 3 atoms:
Gd  0.000  0.000  0.000
Hf  0.500  0.500  0.500
Ir  0.250  0.250  0.250

***

# 2
LiGdHfIr | PBE | relaxed

Calculated values
Crystal system = cubic
Space-group type = F-43m (216)
Energy relative to the elements = -434 meV/atom
D(E_F) = 3.322 states/eV per cell

abc: 4.790 4.790 4.790
angles: 60.00 60.00 60.00
Fractional coordinates of all 4 atoms:
Li  0.000  0.000  0.000
Gd  0.250  0.250  0.250
Hf  0.750  0.750  0.750
Ir  0.500  0.500  0.500

***

# 3
GdHfIrPd | PBE | relaxed

Calculated values
Crystal system = cubic
Space-group type = F-43m (216)
Energy relative to the elements = -728 meV/atom
D(E_F) = 4.346 states/eV per cell

abc: 4.802 4.802 4.802
angles: 60.00 60.00 60.00
Fractional coordinates of all 4 atoms:
Gd  0.000  0.000  0.000
Hf  0.500  0.500  0.500
Ir  0.750  0.750  0.750
Pd  0.250  0.250  0.250

***

# 4
GdHfIrRu | PBE | relaxed

Calculated values
Crystal system = cubic
Space-group type = F-43m (216)
Energy relative to the elements = -644 meV/atom
D(E_F) = 1.298 states/eV per cell

abc: 4.735 4.735 4.735
angles: 60.00 60.00 60.00
Fractional coordinates of all 4 atoms:
Gd  0.000  0.000  0.000
Hf  0.500  0.500  0.500
Ir  0.750  0.750  0.750
Ru  0.250  0.250  0.250

***

# 5
GdHfTcIr | PBE | relaxed

Calculated values
Crystal system = cubic
Space-group type = F-43m (216)
Energy relative to the elements = -501 meV/atom
D(E_F) = 2.580 states/eV per cell

abc: 4.734 4.734 4.734
angles: 60.00 60.00 60.00
Fractional coordinates of all 4 atoms:
Gd  0.000  0.000  0.000
Hf  0.500  0.500  0.500
Tc  0.250  0.250  0.250
Ir  0.750  0.750  0.750

***

# 6
KGdHf2O6 | PBE | relaxed

Calculated values
Formation energy without anion corrections = -3.080 eV per atom
Crystal system = cubic
Space-group type = Fm-3m (225)

abc: 5.817 5.817 5.817
angles: 60.00 60.00 60.00
Fractional coordinates of all 10 atoms:
K  0.000  0.000  0.000
Gd  0.500  0.500  0.500
Hf  0.250  0.250  0.250
Hf  0.750  0.750  0.750
O  0.000  0.000  0.500
O  0.000  0.500  0.000
O  0.000  0.500  0.500
O  0.500  0.000  0.000
O  0.500  0.000  0.500
O  0.500  0.500  0.000

***

# 7
KGdHf4O12 | PBE | relaxed

Calculated values
Formation energy without anion corrections = -2.733 eV per atom
Crystal system = orthorhombic
Space-group type = Amm2 (38)
D(E_F) = 5.412 states/eV per cell

abc: 8.160 5.769 5.769
angles: 89.64 90.00 90.00
Fractional coordinates of all 18 atoms:
K  0.000  0.000  0.000
Gd  0.500  0.496  0.496
Hf  0.247  0.500  0.995
Hf  0.247  0.995  0.500
Hf  0.753  0.500  0.995
Hf  0.753  0.995  0.500
O  0.000  0.524  0.981
O  0.000  0.981  0.524
O  0.229  0.230  0.230
O  0.286  0.268  0.726
O  0.286  0.726  0.268
O  0.311  0.733  0.733
O  0.500  0.087  0.454
O  0.500  0.454  0.087
O  0.689  0.733  0.733
O  0.714  0.268  0.726
O  0.714  0.726  0.268
O  0.771  0.230  0.230

***

# 8
LaGdHf | PBE | relaxed

Calculated values
Excess energy over the best structure of this formula in the dataset = 0 meV per atom
Crystal system = tetragonal
Space-group type = I4mm (107)
Energy relative to the elements = 155 meV/atom
D(E_F) = 4.502 states/eV per cell

abc: 8.161 8.161 8.161
angles: 156.09 156.09 34.06
Fractional coordinates of all 3 atoms:
La  0.000  0.000  0.000
Gd  0.694  0.694  0.000
Hf  0.340  0.340  0.000

***

# 9
La2GdHf | PBE | relaxed

Calculated values
Excess energy over the best structure of this formula in the dataset = 26 meV per atom
Crystal system = tetragonal
Space-group type = P4/mmm (123)
Energy relative to the elements = 205 meV/atom
D(E_F) = 4.756 states/eV per cell

abc: 4.078 4.078 7.537
angles: 90.00 90.00 90.00
Fractional coordinates of all 4 atoms:
La  0.000  0.000  0.222
La  0.000  0.000  0.778
Gd  0.500  0.500  0.500
Hf  0.500  0.500  0.000

***

# 10
LaGd2Hf | PBE | relaxed

Calculated values
Excess energy over the best structure of this formula in the dataset = 278 meV per atom
Crystal system = trigonal
Space-group type = R-3m (166)
Energy relative to the elements = 391 meV/atom
D(E_F) = 6.365 states/eV per cell

abc: 12.389 12.389 12.389
angles: 15.70 15.70 15.70
Fractional coordinates of all 4 atoms:
La  0.000  0.000  0.000
Gd  0.416  0.416  0.416
Gd  0.584  0.584  0.584
Hf  0.500  0.500  0.500

***

# 11
LaGd2Hf | PBE | relaxed

Calculated values
Excess energy over the best structure of this formula in the dataset = 58 meV per atom
Crystal system = tetragonal
Space-group type = P4/mmm (123)
Energy relative to the elements = 172 meV/atom
D(E_F) = 5.042 states/eV per cell

abc: 4.900 4.900 4.985
angles: 90.00 90.00 90.00
Fractional coordinates of all 4 atoms:
La  0.000  0.000  0.000
Gd  0.000  0.500  0.500
Gd  0.500  0.000  0.500
Hf  0.500  0.500  0.000

***

# 12
La2GdHf | PBE | relaxed

Calculated values
Excess energy over the best structure of this formula in the dataset = 199 meV per atom
Crystal system = trigonal
Space-group type = R-3m (166)
Energy relative to the elements = 378 meV/atom
D(E_F) = 6.252 states/eV per cell

abc: 12.565 12.565 12.565
angles: 15.50 15.50 15.50
Fractional coordinates of all 4 atoms:
La  0.082  0.082  0.082
La  0.918  0.918  0.918
Gd  0.500  0.500  0.500
Hf  0.000  0.000  0.000